Entry 1:
DFT (GGA-PBE) results for a relaxed RuIBr2 crystal.

Structure (extended XYZ):
```
4
Lattice="4.0369 -1.0102 -3.2044 2.3904 -4.6732 0.1804 -0.5783 -3.4002 -3.9609" Properties=species:S:1:pos:R:3 pbc="T T T"
I 2.9245 -4.5418 -3.4924
Ru 0.0000 0.0000 0.0000
Br 1.4623 -2.2709 -1.7462
Br 4.3868 -6.8127 -5.2387
```

Computed properties:
Theoretical density ... 6.285 g cm⁻³
Total magnetic moment ... 3.6 μB/f.u.
Formation energy from raw total energies ... 1.034 eV/atom



Entry 2:
DFT (GGA-PBE) results for a relaxed KMg6Mo crystal.

Structure (extended XYZ):
```
8
Lattice="3.1980 -5.5392 0.0000 3.1980 5.5392 0.0000 0.0000 0.0000 5.0885" Properties=species:S:1:pos:R:3 pbc="T T T"
K 0.0000 0.0000 0.0000
Mg 1.7493 -2.6828 0.0000
Mg 3.1980 -0.1736 0.0000
Mg 4.6468 -2.6828 0.0000
Mg 1.6675 0.9627 2.5442
Mg 3.1980 3.6137 2.5442
Mg 4.7286 0.9627 2.5442
Mo 3.1980 -1.8464 2.5442
```

Computed properties:
Theoretical density ... 2.587 g cm⁻³
Total magnetic moment ... 0.0 μB/f.u.
Formation energy ... 0.36 eV/atom



Entry 3:
DFT (GGA-PBE) results for a relaxed PbAu2 crystal.

Structure (extended XYZ):
```
3
Lattice="-0.2404 1.2670 -3.3027 2.2007 -2.5382 -1.1339 -5.1332 -2.5538 1.2971" Properties=species:S:1:pos:R:3 pbc="T T T"
Pb 0.0000 0.0000 0.0000
Au -0.5414 -1.8041 -2.5558
Au -2.6316 -2.0209 -0.5837
```

Computed properties:
Theoretical density ... 14.935 g cm⁻³
Total magnetic moment ... 0.0 μB/f.u.
Formation energy ... 0.00 eV/atom



Entry 4:
DFT (GGA-PBE) results for a relaxed MnGaGeSe2 crystal.

Structure (extended XYZ):
```
10
Lattice="5.4791 0.0000 -0.0638 0.0000 3.0375 0.0000 -1.9244 0.0000 13.2888" Properties=species:S:1:pos:R:3 pbc="T T T"
Mn -1.1465 0.0000 11.9541
Mn -0.1843 1.5187 5.3097
Ga 3.3302 0.0000 5.9493
Ga 2.3680 1.5187 12.5937
Ge 3.6141 0.0000 3.2715
Ge 2.6519 1.5187 9.9159
Se 0.9629 0.0000 6.8584
Se 1.9251 1.5187 0.2140
Se 0.5867 0.0000 3.5570
Se -0.3755 1.5187 10.2014
```

Computed properties:
Theoretical density ... 5.343 g cm⁻³
Total magnetic moment ... 1.9 μB/f.u.
Formation energy from raw total energies ... -0.063 eV/atom



Entry 5:
DFT (GGA-PBE) results for a relaxed ThScCoOs crystal.

Structure (extended XYZ):
```
4
Lattice="4.7654 0.0000 0.0000 2.3827 4.1270 0.0000 2.3827 1.3757 3.8909" Properties=species:S:1:pos:R:3 pbc="T T T"
Sc 7.1481 4.1270 2.9182
Co 0.0000 0.0000 0.0000
Os 4.7654 2.7513 1.9455
Th 2.3827 1.3757 0.9727
```

Computed properties:
Theoretical density ... 11.418 g cm⁻³
Total magnetic moment ... 0.4 μB/f.u.
Formation energy ... -0.27 eV/atom



Entry 6:
DFT (GGA-PBE) results for a relaxed CsSi2HgO crystal.

Structure (extended XYZ):
```
5
Lattice="-3.4270 -2.9362 1.9298 3.7979 0.7253 7.8478 -2.7938 3.9119 0.9905" Properties=species:S:1:pos:R:3 pbc="T T T"
Cs 1.8990 0.3626 3.9239
Si -1.3969 1.9560 0.4953
Si -1.7135 -1.4681 0.9649
Hg 0.0000 0.0000 0.0000
O -1.2115 0.8505 5.3841
```

Computed properties:
Theoretical density ... 3.196 g cm⁻³
Total magnetic moment ... 1.1 μB/f.u.
Formation energy from raw total energies ... 0.851 eV/atom



Entry 7:
DFT (GGA-PBE) results for a relaxed La2AsAu2 crystal.

Structure (extended XYZ):
```
5
Lattice="-1.0987 0.7259 3.6730 2.8482 -2.3225 1.3110 6.1577 5.8328 2.7618" Properties=species:S:1:pos:R:3 pbc="T T T"
As 0.0000 0.0000 0.0000
Au 2.9668 2.8802 4.4634
Au 4.9403 1.3560 3.2824
La 1.9372 0.5353 2.5463
La 5.9699 3.7009 5.1995
```

Computed properties:
Theoretical density ... 9.600 g cm⁻³
Total magnetic moment ... 0.0 μB/f.u.
Formation energy ... -0.82 eV/atom



Entry 8:
DFT (GGA-PBE) results for a relaxed PmNdCoHg crystal.

Structure (extended XYZ):
```
4
Lattice="-1.6208 -0.6926 4.8786 2.0706 -3.7605 2.9117 3.1179 1.2094 3.9652" Properties=species:S:1:pos:R:3 pbc="T T T"
Co 0.8919 -0.8109 2.9389
Nd 1.7839 -1.6218 5.8778
Hg 2.6758 -2.4328 8.8167
Pm 0.0000 0.0000 0.0000
```

Computed properties:
Theoretical density ... 9.233 g cm⁻³
Total magnetic moment ... 0.6 μB/f.u.
Formation energy ... -0.14 eV/atom



Entry 9:
DFT (GGA-PBE) results for a relaxed AgBrO2 crystal.

Structure (extended XYZ):
```
8
Lattice="4.5293 0.0000 0.0000 0.0000 4.5293 0.0000 2.2646 2.2646 6.2787" Properties=species:S:1:pos:R:3 pbc="T T T"
O 3.1811 1.1323 1.5697
O 1.3482 3.3970 1.5697
O 3.3970 3.6129 4.7090
O 5.6616 5.4457 4.7090
Br 2.2646 2.2646 0.0000
Br 2.2646 4.5293 3.1393
Ag 0.0000 0.0000 0.0000
Ag 4.5293 2.2646 3.1393
```

Computed properties:
Theoretical density ... 5.667 g cm⁻³
Total magnetic moment ... 0.0 μB/f.u.
Formation energy from raw total energies ... 0.488 eV/atom



Entry 10:
DFT (GGA-PBE) results for a relaxed Ac2Ni2Rh crystal.

Structure (extended XYZ):
```
10
Lattice="4.2534 0.0000 0.0000 2.1267 5.5375 -0.0082 2.1267 0.8533 10.0496" Properties=species:S:1:pos:R:3 pbc="T T T"
Ac 4.2534 1.6050 3.6413
Ac 6.3800 2.4264 8.9777
Ac 4.2534 4.7858 6.4002
Ac 2.1267 3.9644 1.0637
Ni 2.1267 2.4148 5.8986
Ni 6.3800 5.6568 8.9866
Ni 6.3800 3.9761 4.1428
Ni 2.1267 0.7340 1.0548
Rh 4.2534 1.5450 6.8833
Rh 4.2534 4.8458 3.1581
```

Computed properties:
Theoretical density ... 9.460 g cm⁻³
Total magnetic moment ... 0.0 μB/f.u.
Formation energy ... -0.38 eV/atom



Entry 11:
DFT (GGA-PBE) results for a relaxed Pm3Pt2Rh crystal.

Structure (extended XYZ):
```
6
Lattice="3.5395 0.0000 0.0000 0.0000 3.5395 0.0000 0.0000 0.0000 10.8215" Properties=species:S:1:pos:R:3 pbc="T T T"
Pm 0.0000 0.0000 0.0000
Pm 0.0000 0.0000 7.1596
Pm 0.0000 0.0000 3.6619
Pt 1.7698 1.7698 8.9980
Pt 1.7698 1.7698 1.8235
Rh 1.7698 1.7698 5.4107
```

Computed properties:
Theoretical density ... 11.367 g cm⁻³
Total magnetic moment ... 0.0 μB/f.u.
Formation energy ... -0.96 eV/atom



Entry 12:
DFT (GGA-PBE) results for a relaxed Mn3Te4 crystal.

Structure (extended XYZ):
```
7
Lattice="3.2233 2.7546 -3.6579 -5.5771 0.3306 -0.3793 0.0359 4.7224 3.5878" Properties=species:S:1:pos:R:3 pbc="T T T"
Mn -2.7886 0.1653 -0.1897
Mn -1.1769 1.5426 -2.0186
Mn 1.6117 1.3773 -1.8289
Te 0.0087 1.1446 0.8696
Te 0.0272 3.5778 2.7182
Te 0.3078 4.3078 -0.7711
Te -2.6257 3.4998 0.3218
```

Computed properties:
Theoretical density ... 6.962 g cm⁻³
Total magnetic moment ... 11.7 μB/f.u.
Formation energy from raw total energies ... 0.465 eV/atom